CsAcTe | GGA-PBE | relaxed Values from VASP.

```
&SYSTEM
  ibrav = 0, nat = 3, ntyp = 3
/
ATOMIC_SPECIES
Cs 132.91 Cs.upf
Ac 227.00 Ac.upf
Te 127.60 Te.upf
CELL_PARAMETERS angstrom
4.2915 0.0000 0.0000
0.0000 4.2915 0.0000
-2.1457 -2.1457 8.3676
ATOMIC_POSITIONS crystal
Cs 0.0255 0.0255 0.0510
Ac 0.2814 0.2814 0.5628
Te 0.6931 0.6931 0.3862
```

The distance to the lowest polymorph of the same formula is 0.0 meV per atom. The value obtained for the energy relative to the elements, uncorrected is -0.751 eV/atom.



MgBiSe2 | GGA-PBE | relaxed Values from VASP.

```
&SYSTEM
  ibrav = 0, nat = 4, ntyp = 3
/
ATOMIC_SPECIES
Mg 24.30 Mg.upf
Bi 208.98 Bi.upf
Se 78.96 Se.upf
CELL_PARAMETERS angstrom
2.5175 0.0000 8.2833
-1.2587 2.1802 8.2833
-1.2587 -2.1802 8.2833
ATOMIC_POSITIONS crystal
Mg 0.0000 0.0000 0.0000
Bi 0.5000 0.5000 0.5000
Se 0.1023 0.1023 0.1023
Se 0.8977 0.8977 0.8977
```

The distance to the lowest polymorph of the same formula is 176.2 meV per atom. The value obtained for the energy relative to the elements, uncorrected is -0.288 eV/atom.



CaCdP | GGA-PBE | relaxed Values from VASP.

```
&SYSTEM
  ibrav = 0, nat = 9, ntyp = 3
/
ATOMIC_SPECIES
Ca 40.08 Ca.upf
Cd 112.41 Cd.upf
P 30.97 P.upf
CELL_PARAMETERS angstrom
0.5943 5.2944 -5.2138
-2.1291 1.7994 6.9135
4.0510 0.6159 1.0872
ATOMIC_POSITIONS crystal
Ca 0.0000 0.4022 0.5000
Ca 0.5978 0.5978 0.5000
Ca 0.4022 0.0000 0.5000
Cd 0.0000 0.7501 0.0000
Cd 0.2499 0.2499 0.0000
Cd 0.7501 0.0000 0.0000
P 0.0000 0.0000 0.5000
P 0.6667 0.3333 0.0000
P 0.3333 0.6667 0.0000
```

The formation enthalpy at 0 K is -0.546 eV per atom. The distance to the lowest polymorph of the same formula is 43.3 meV per atom.



CoSbOs2 | GGA-PBE | relaxed Values from VASP.

```
&SYSTEM
  ibrav = 0, nat = 4, ntyp = 3
/
ATOMIC_SPECIES
Co 58.93 Co.upf
Os 190.23 Os.upf
Sb 121.76 Sb.upf
CELL_PARAMETERS angstrom
-5.1682 6.4590 -1.8264
-5.4697 4.8602 -4.2690
-7.0850 4.2379 -1.8991
ATOMIC_POSITIONS crystal
Co 0.7500 0.7500 0.7500
Os 0.0048 0.0048 0.0048
Os 0.4952 0.4952 0.4952
Sb 0.2500 0.2500 0.2500
```

The distance to the lowest polymorph of the same formula is 288.4 meV per atom. The value obtained for the energy relative to the elements, uncorrected is 0.733 eV/atom.



GdPaTcOs | GGA-PBE | relaxed Values from VASP.

```
&SYSTEM
  ibrav = 0, nat = 4, ntyp = 4
/
ATOMIC_SPECIES
Gd 157.25 Gd.upf
Pa 231.04 Pa.upf
Os 190.23 Os.upf
Tc 98.00 Tc.upf
CELL_PARAMETERS angstrom
-4.5792 -0.0514 1.6656
-2.6649 -4.0669 -0.3236
-1.1009 -2.5182 4.0240
ATOMIC_POSITIONS crystal
Gd 0.5000 0.5000 0.5000
Pa 0.0000 0.0000 0.0000
Os 0.2500 0.2500 0.2500
Tc 0.7500 0.7500 0.7500
```

The formation enthalpy at 0 K is -0.144 eV per atom.



PuBiCl | GGA-PBE | relaxed Values from VASP.

```
&SYSTEM
  ibrav = 0, nat = 3, ntyp = 3
/
ATOMIC_SPECIES
Cl 35.45 Cl.upf
Bi 208.98 Bi.upf
Pu 244.00 Pu.upf
CELL_PARAMETERS angstrom
4.1211 0.0000 0.0000
0.0000 4.8114 0.0000
0.0000 -2.4057 4.1668
ATOMIC_POSITIONS crystal
Cl 0.1667 0.3333 0.6667
Bi 0.6667 0.6667 0.3333
Pu 0.1666 0.0000 0.0000
```

The distance to the lowest polymorph of the same formula is 167.9 meV per atom. The value obtained for the energy relative to the elements, uncorrected is -0.728 eV/atom.



SiSeCl2 | GGA-PBE | relaxed Values from VASP.

```
&SYSTEM
  ibrav = 0, nat = 4, ntyp = 3
/
ATOMIC_SPECIES
Cl 35.45 Cl.upf
Se 78.96 Se.upf
Si 28.09 Si.upf
CELL_PARAMETERS angstrom
-4.4012 1.7391 0.4098
-1.1858 -2.0196 -4.1325
1.8471 -2.6388 3.4911
ATOMIC_POSITIONS crystal
Cl 0.0000 0.0000 0.0000
Cl 0.2500 0.7500 0.5000
Se 0.5000 0.5000 0.0000
Si 0.7500 0.2500 0.5000
```

The distance to the lowest polymorph of the same formula is 654.1 meV per atom. The value obtained for the energy relative to the elements, uncorrected is 0.347 eV/atom.



HfZrH | GGA-PBE | relaxed Values from VASP.

```
&SYSTEM
  ibrav = 0, nat = 3, ntyp = 3
/
ATOMIC_SPECIES
H 1.01 H.upf
Hf 178.49 Hf.upf
Zr 91.22 Zr.upf
CELL_PARAMETERS angstrom
-2.8204 -0.9939 -1.1875
1.5648 -1.8064 2.1542
-2.5109 2.4707 3.8957
ATOMIC_POSITIONS crystal
H 0.6667 0.3333 0.3238
Hf 0.0000 0.0000 0.0816
Zr 0.3333 0.6667 0.5945
```

The distance to the lowest polymorph of the same formula is 62.3 meV per atom.



MgTc2Ni | GGA-PBE | relaxed Values from VASP.

```
&SYSTEM
  ibrav = 0, nat = 4, ntyp = 3
/
ATOMIC_SPECIES
Mg 24.30 Mg.upf
Ni 58.69 Ni.upf
Tc 98.00 Tc.upf
CELL_PARAMETERS angstrom
4.9720 -0.0055 0.0000
-2.4219 4.3423 0.0000
0.0000 0.0000 2.6335
ATOMIC_POSITIONS crystal
Mg 0.5000 0.0000 0.5000
Ni 0.0000 0.5000 0.5000
Tc 0.0000 0.0000 0.0000
Tc 0.5000 0.5000 0.0000
```

The formation enthalpy at 0 K is 0.200 eV per atom.



CaCe3Se4 | GGA-PBE | relaxed Values from VASP.

```
&SYSTEM
  ibrav = 0, nat = 8, ntyp = 3
/
ATOMIC_SPECIES
Ca 40.08 Ca.upf
Ce 140.12 Ce.upf
Se 78.96 Se.upf
CELL_PARAMETERS angstrom
-3.7299 1.7234 -0.8066
-2.1030 -6.1308 -3.3748
-1.7327 -0.4335 7.0858
ATOMIC_POSITIONS crystal
Ca 0.5000 0.0000 0.0000
Ce 0.0000 0.0000 0.5000
Ce 0.5000 0.5000 0.5000
Ce 0.0000 0.5000 0.0000
Se 0.0000 0.2454 0.2454
Se 0.5000 0.7528 0.2472
Se 0.0000 0.7546 0.7546
Se 0.5000 0.2472 0.7528
```

The value obtained for the energy relative to the elements, uncorrected is -1.831 eV/atom.



Nd2HoScTe4 | GGA-PBE | relaxed Values from VASP.

```
&SYSTEM
  ibrav = 0, nat = 8, ntyp = 4
/
ATOMIC_SPECIES
Nd 144.24 Nd.upf
Ho 164.93 Ho.upf
Sc 44.96 Sc.upf
Te 127.60 Te.upf
CELL_PARAMETERS angstrom
-2.1683 0.9006 -3.6164
3.2841 -5.8241 -3.4195
-6.5511 -2.4453 3.3189
ATOMIC_POSITIONS crystal
Nd 0.5000 0.0000 0.5000
Nd 0.0000 0.5000 0.5000
Ho 0.5000 0.5000 0.0000
Sc 0.0000 0.0000 0.0000
Te 0.5000 0.2364 0.2278
Te 0.5000 0.7636 0.7722
Te 0.0000 0.2499 0.7679
Te 0.0000 0.7501 0.2321
```

The value obtained for the energy relative to the elements, uncorrected is -1.294 eV/atom.



CdSbI2O | GGA-PBE | relaxed Values from VASP.

```
&SYSTEM
  ibrav = 0, nat = 5, ntyp = 4
/
ATOMIC_SPECIES
I 126.90 I.upf
Sb 121.76 Sb.upf
O 16.00 O.upf
Cd 112.41 Cd.upf
CELL_PARAMETERS angstrom
-3.3705 3.7371 2.6467
-3.2747 -4.2641 1.8506
3.2361 -0.4320 4.7310
ATOMIC_POSITIONS crystal
I 0.0000 0.5000 0.0000
I 0.5000 0.0000 0.0000
Sb 0.0000 0.0000 0.5000
O 0.5000 0.5000 0.5000
Cd 0.0000 0.0000 0.0000
```

The distance to the lowest polymorph of the same formula is 1210.6 meV per atom. The value obtained for the energy relative to the elements, uncorrected is 0.934 eV/atom.



MgInNi3 | GGA-PBE | relaxed Values from VASP.

```
&SYSTEM
  ibrav = 0, nat = 5, ntyp = 3
/
ATOMIC_SPECIES
Ni 58.69 Ni.upf
Mg 24.30 Mg.upf
In 114.82 In.upf
CELL_PARAMETERS angstrom
4.3629 0.0000 0.0000
0.0000 4.3629 0.0000
0.0000 0.0000 4.3629
ATOMIC_POSITIONS crystal
Ni 0.0000 0.5000 0.0000
Ni 0.0000 0.0000 0.5000
Ni 0.5000 0.0000 0.0000
Mg 0.0000 0.0000 0.0000
In 0.5000 0.5000 0.5000
```

The formation enthalpy at 0 K is 0.797 eV per atom. The distance to the lowest polymorph of the same formula is 727.1 meV per atom.



Be2V2Co5Ge | GGA-PBE | relaxed Values from VASP.

```
&SYSTEM
  ibrav = 0, nat = 20, ntyp = 4
/
ATOMIC_SPECIES
Be 9.01 Be.upf
V 50.94 V.upf
Co 58.93 Co.upf
Ge 72.64 Ge.upf
CELL_PARAMETERS angstrom
3.0678 0.0000 0.0000
0.0000 8.3549 0.0000
0.0000 0.0000 8.3549
ATOMIC_POSITIONS crystal
Be 0.0000 0.1204 0.6204
Be 0.0000 0.8796 0.3796
Be 0.0000 0.6204 0.8796
Be 0.0000 0.3796 0.1204
V 0.0000 0.6743 0.1743
V 0.0000 0.3257 0.8257
V 0.0000 0.1743 0.3257
V 0.0000 0.8257 0.6743
Co 0.5000 0.2109 0.0692
Co 0.5000 0.7891 0.9308
Co 0.5000 0.0692 0.7891
Co 0.5000 0.7109 0.4308
Co 0.5000 0.9308 0.2109
Co 0.5000 0.2891 0.5692
Co 0.5000 0.5692 0.7109
Co 0.5000 0.4308 0.2891
Co 0.5000 0.5000 0.0000
Co 0.5000 0.0000 0.5000
Ge 0.0000 0.0000 0.0000
Ge 0.0000 0.5000 0.5000
```

The formation enthalpy at 0 K is -0.193 eV per atom.



AlB4W6 | GGA-PBE | relaxed Values from VASP.

```
&SYSTEM
  ibrav = 0, nat = 11, ntyp = 3
/
ATOMIC_SPECIES
Al 26.98 Al.upf
B 10.81 B.upf
W 183.84 W.upf
CELL_PARAMETERS angstrom
5.7445 0.0000 0.0000
0.0000 5.7445 0.0000
-2.8722 -2.8722 4.0964
ATOMIC_POSITIONS crystal
Al 0.5000 0.5000 0.0000
B 0.0776 0.8064 0.8840
B 0.9224 0.9224 0.1160
B 0.8064 0.0776 0.8840
B 0.1936 0.1936 0.1160
W 0.0435 0.4199 0.4634
W 0.4199 0.0435 0.4634
W 0.5801 0.5801 0.5366
W 0.0000 0.5000 0.0000
W 0.9565 0.9565 0.5366
W 0.5000 0.0000 0.0000
```

The formation enthalpy at 0 K is -0.084 eV per atom.



Li2PmPr2Si2 | GGA-PBE | relaxed Values from VASP.

```
&SYSTEM
  ibrav = 0, nat = 7, ntyp = 4
/
ATOMIC_SPECIES
Li 6.94 Li.upf
Pm 145.00 Pm.upf
Pr 140.91 Pr.upf
Si 28.09 Si.upf
CELL_PARAMETERS angstrom
4.5000 0.0000 0.0000
2.2500 3.8971 0.0000
2.2500 1.2990 9.4701
ATOMIC_POSITIONS crystal
Li 0.6059 0.6059 0.1824
Li 0.3941 0.3941 0.8176
Pm 0.0000 0.0000 0.0000
Pr 0.1251 0.1251 0.6246
Pr 0.8749 0.8749 0.3754
Si 0.7323 0.7323 0.8030
Si 0.2677 0.2677 0.1970
```

The value obtained for the energy relative to the elements, uncorrected is -0.384 eV/atom.



SmLuFe | GGA-PBE | relaxed Values from VASP.

```
&SYSTEM
  ibrav = 0, nat = 3, ntyp = 3
/
ATOMIC_SPECIES
Lu 174.97 Lu.upf
Fe 55.84 Fe.upf
Sm 150.36 Sm.upf
CELL_PARAMETERS angstrom
3.3209 0.0000 0.0000
0.0000 3.3209 0.0000
-1.6604 -1.6604 6.3959
ATOMIC_POSITIONS crystal
Lu 0.0429 0.0429 0.0859
Fe 0.6623 0.6623 0.3246
Sm 0.2948 0.2948 0.5895
```

The formation enthalpy at 0 K is 0.064 eV per atom.



PrBeSi2Rh | GGA-PBE | relaxed Values from VASP.

```
&SYSTEM
  ibrav = 0, nat = 5, ntyp = 4
/
ATOMIC_SPECIES
Pr 140.91 Pr.upf
Be 9.01 Be.upf
Si 28.09 Si.upf
Rh 102.91 Rh.upf
CELL_PARAMETERS angstrom
4.0193 0.0000 0.0000
0.0000 4.0193 0.0000
-2.0097 -2.0097 5.1410
ATOMIC_POSITIONS crystal
Pr 0.0000 0.0000 0.0000
Be 0.2500 0.7500 0.5000
Si 0.6217 0.6217 0.2435
Si 0.3783 0.3783 0.7565
Rh 0.7500 0.2500 0.5000
```

The value obtained for the energy relative to the elements, uncorrected is -0.730 eV/atom.



Ho6ErIn6 | GGA-PBE | relaxed Values from VASP.

```
&SYSTEM
  ibrav = 0, nat = 13, ntyp = 3
/
ATOMIC_SPECIES
Ho 164.93 Ho.upf
Er 167.26 Er.upf
In 114.82 In.upf
CELL_PARAMETERS angstrom
6.2448 -0.0004 0.0000
-3.1220 5.4083 0.0000
0.0000 0.0000 10.6763
ATOMIC_POSITIONS crystal
Ho 0.0000 0.0000 0.6621
Ho 0.0000 0.0000 0.3379
Ho 0.3333 0.6667 0.0000
Ho 0.6667 0.3333 0.0000
Ho 0.3333 0.6667 0.5000
Ho 0.6667 0.3333 0.5000
Er 0.0000 0.0000 0.0000
In 0.0000 0.5000 0.7540
In 0.5000 0.0000 0.7540
In 0.5000 0.5000 0.7540
In 0.5000 0.0000 0.2460
In 0.0000 0.5000 0.2460
In 0.5000 0.5000 0.2460
```

The formation enthalpy at 0 K is -0.301 eV per atom.



CuP2Pb | GGA-PBE | relaxed Values from VASP.

```
&SYSTEM
  ibrav = 0, nat = 4, ntyp = 3
/
ATOMIC_SPECIES
Cu 63.55 Cu.upf
P 30.97 P.upf
Pb 207.20 Pb.upf
CELL_PARAMETERS angstrom
3.2954 0.0000 0.0000
0.0000 3.2954 0.0000
0.0000 0.0000 7.0555
ATOMIC_POSITIONS crystal
Cu 0.5000 0.5000 0.8042
P 0.0000 0.0000 0.0150
P 0.5000 0.5000 0.1324
Pb 0.0000 0.0000 0.5485
```

The formation enthalpy at 0 K is 0.264 eV per atom.



no.,calculated volume (A^3/atom),DOS at the Fermi energy (states/eV per atom),VASP energy (eV/atom)
1,51.368,0.852,-3.45
2,34.098,0.489,-3.40
3,22.667,0.687,-3.32
4,15.478,1.208,-7.69
5,20.455,0.862,-11.44
6,27.541,3.361,-7.41
7,18.940,0.810,-2.80
8,15.697,1.182,-7.41
9,14.206,0.886,-6.83
10,26.385,2.346,-6.05
11,29.679,0.598,-5.42
12,37.169,2.944,-1.68
13,16.610,0.822,-3.54
14,10.707,0.849,-6.78
15,12.289,0.529,-9.92
16,23.726,0.712,-4.52
17,23.511,0.581,-5.84
18,16.610,0.583,-6.07
19,27.736,1.176,-4.03
20,19.155,0.358,-4.39